# 1
DFT (PBE) results for an optimized crystal structure of HfBiTe2Rh.

Calculated values
The total energy comes out at -19.64 eV per cell. Its symmetry is P4/mmm, No. 123. As for the formation energy without anion corrections: 1.566 eV per atom.

a = 5.763 Å, b = 5.495 Å, c = 5.763 Å
α = 90.00°, β = 90.00°, γ = 90.00°
Positions (direct):
Te 0.000 0.000 0.500
Te 0.500 0.000 0.000
Rh 0.500 0.500 0.500
Hf 0.000 0.500 0.000
Bi 0.000 0.000 0.000

***

# 2
DFT (PBE) results for an optimized crystal structure of HfBiRh2W.

Calculated values
The total energy comes out at -33.76 eV per cell. Its symmetry is P4/mmm, No. 123. The value obtained for the energy of formation from the pure elements is 1547 meV/atom.

a = 4.722 Å, b = 5.456 Å, c = 4.722 Å
α = 90.00°, β = 90.00°, γ = 90.00°
Positions (direct):
Bi 0.000 0.500 0.000
Rh 0.500 0.000 0.000
Rh 0.000 0.000 0.500
Hf 0.000 0.000 0.000
W 0.500 0.500 0.500

***

# 3
DFT (PBE) results for an optimized crystal structure of YHf2BiRh.

Calculated values
The total energy comes out at -36.69 eV per cell. Its symmetry is P4/mmm, No. 123. The value obtained for the energy of formation from the pure elements is 183 meV/atom.

a = 5.020 Å, b = 5.307 Å, c = 5.020 Å
α = 90.00°, β = 90.00°, γ = 90.00°
Positions (direct):
Bi 0.000 0.500 0.000
Y 0.500 0.500 0.500
Hf 0.500 0.000 0.000
Hf 0.000 0.000 0.500
Rh 0.000 0.000 0.000

***

# 4
DFT (PBE) results for an optimized crystal structure of HfBiRu3.

Calculated values
The total energy comes out at -35.34 eV per cell. Its symmetry is Pm-3m, No. 221. The value obtained for the energy of formation from the pure elements is 1265 meV/atom.

a = 4.795 Å, b = 4.795 Å, c = 4.795 Å
α = 90.00°, β = 90.00°, γ = 90.00°
Positions (direct):
Ru 0.000 0.500 0.000
Ru 0.500 0.000 0.000
Ru 0.000 0.000 0.500
Bi 0.500 0.500 0.500
Hf 0.000 0.000 0.000

***

# 5
DFT (PBE) results for an optimized crystal structure of Hf2BiRu.

Calculated values
The total energy comes out at -61.24 eV per cell. Its symmetry is I-42d, No. 122. The value obtained for the energy of formation from the pure elements is 611 meV/atom.

a = 5.735 Å, b = 5.735 Å, c = 8.273 Å
α = 69.72°, β = 69.72°, γ = 90.00°
Positions (direct):
Hf 0.200 0.625 0.250
Hf 0.550 0.125 0.250
Hf 0.875 0.800 0.750
Hf 0.375 0.450 0.750
Ru 0.250 0.750 0.500
Ru 0.500 0.500 0.000
Bi 0.750 0.250 0.500
Bi 0.000 0.000 0.000

***

# 6
DFT (PBE) results for an optimized crystal structure of Hf3BiRu.

Calculated values
The total energy comes out at -33.93 eV per cell. Its symmetry is Pm-3m, No. 221. The value obtained for the energy of formation from the pure elements is 1818 meV/atom.

a = 5.244 Å, b = 5.244 Å, c = 5.244 Å
α = 90.00°, β = 90.00°, γ = 90.00°
Positions (direct):
Hf 0.000 0.000 0.500
Hf 0.500 0.000 0.000
Hf 0.000 0.500 0.000
Ru 0.500 0.500 0.500
Bi 0.000 0.000 0.000

***

# 7
DFT (PBE) results for an optimized crystal structure of HfBiRu2.

Calculated values
The total energy comes out at -61.12 eV per cell. Its symmetry is I-42d, No. 122. The value obtained for the energy of formation from the pure elements is 456 meV/atom.

a = 7.267 Å, b = 7.267 Å, c = 5.962 Å
α = 52.45°, β = 52.45°, γ = 90.00°
Positions (direct):
Ru 0.875 0.850 0.750
Ru 0.375 0.400 0.750
Ru 0.150 0.625 0.250
Ru 0.600 0.125 0.250
Hf 0.250 0.750 0.500
Hf 0.500 0.500 0.000
Bi 0.000 0.000 0.000
Bi 0.750 0.250 0.500

***

# 8
DFT (PBE) results for an optimized crystal structure of HfBiRu2.

Calculated values
The total energy comes out at -33.10 eV per cell. Its symmetry is P4/mmm, No. 123. The value obtained for the energy of formation from the pure elements is -178 meV/atom.

a = 3.331 Å, b = 3.331 Å, c = 6.619 Å
α = 90.00°, β = 90.00°, γ = 90.00°
Positions (direct):
Ru 0.000 0.000 0.230
Ru 0.000 0.000 0.770
Hf 0.500 0.500 0.000
Bi 0.500 0.500 0.500